Material: K3Rb2ReO6
Method: DFT, PBE-GGA
State: optimized geometry

Unit cell a=6.3384 b=6.3384 c=6.3547 alpha=100.52 beta=100.52 gamma=120.08
With the nearest neighbours (Å) after each atom.
Sites, in units of the cell vectors:
K (0.0000, 0.0000, 0.0000)  4 O 2.59
K (0.1664, 0.8336, 0.5000)  6 O 2.65-2.68
K (0.8336, 0.1664, 0.5000)  6 O 2.65-2.68
Rb (0.3258, 0.6742, 0.0000)  4 O 2.71-2.72
Rb (0.6742, 0.3258, 0.0000)  4 O 2.71-2.72
Re (0.5000, 0.5000, 0.5000)  6 O 1.92-1.93
O (0.1842, 0.4317, 0.3099)  1 Re 1.93
O (0.3180, 0.3180, 0.6837)  1 Re 1.92
O (0.4317, 0.1842, 0.3099)  1 Re 1.93
O (0.5683, 0.8158, 0.6901)  1 Re 1.93
O (0.6820, 0.6820, 0.3163)  1 Re 1.92
O (0.8158, 0.5683, 0.6901)  1 Re 1.93

Properties
- Final energy: -66.77 eV/f.u.
- Polymorph energy (0 for the lowest one): 0.0 meV per atom
- SG: C2/m